(1)
TaGe3Os | PBE | optimized geometry

Density of states at the Fermi level ... 7.26 states/eV/cell
Volume ... 121.1 Å³/cell
Space group ... Pm-3m, No. 221
DFT formation energy ... 1545 meV per atom

Cell lengths 4.9470, 4.9470, 4.9470 Å; angles 90.00, 90.00, 90.00 degrees
Last column: nearest neighbours and their distance in Å.
Sites, in units of the cell vectors:
Ta: 0.0000 0.0000 0.0000  6 Ge 2.47
Ge: 0.0000 0.0000 0.5000  2 Ta 2.47
Ge: 0.0000 0.5000 0.0000  2 Ta 2.47
Ge: 0.5000 0.0000 0.0000  2 Ta 2.47
Os: 0.5000 0.5000 0.5000  12 Ge 3.50


(2)
Ca2LaZn | PBE | optimized geometry

Density of states at the Fermi level ... 19.41 states/eV/cell
Volume ... 502.1 Å³/cell
Space group ... F222, No. 22
DFT formation energy ... 41 meV per atom

Cell lengths 7.9230, 7.9497, 7.9711 Å; angles 90.00, 90.00, 90.00 degrees
Last column: nearest neighbours and their distance in Å.
Sites, in units of the cell vectors:
Ca: 0.0000 0.0000 0.0000  4 Zn 3.44, 4 Ca 3.44
Ca: 0.0000 0.5000 0.5000  4 Zn 3.44, 4 Ca 3.44
Ca: 0.2500 0.2500 0.2500  4 Ca 3.44, 4 La 3.44
Ca: 0.2500 0.7500 0.7500  4 Ca 3.44, 4 La 3.44
Ca: 0.5000 0.0000 0.5000  4 Zn 3.44, 4 Ca 3.44
Ca: 0.5000 0.5000 0.0000  4 Zn 3.44, 4 Ca 3.44
Ca: 0.7500 0.2500 0.7500  4 La 3.44, 4 Ca 3.44
Ca: 0.7500 0.7500 0.2500  4 La 3.44, 4 Ca 3.44
La: 0.0000 0.0000 0.5000  4 Ca 3.44, 4 Zn 3.44
La: 0.0000 0.5000 0.0000  4 Ca 3.44, 4 Zn 3.44
La: 0.5000 0.0000 0.0000  4 Ca 3.44, 4 Zn 3.44
La: 0.5000 0.5000 0.5000  4 Ca 3.44, 4 Zn 3.44
Zn: 0.2500 0.2500 0.7500  4 La 3.44, 4 Ca 3.44
Zn: 0.2500 0.7500 0.2500  4 La 3.44, 4 Ca 3.44
Zn: 0.7500 0.2500 0.2500  4 La 3.44, 4 Ca 3.44
Zn: 0.7500 0.7500 0.7500  4 La 3.44, 4 Ca 3.44


(3)
Pm2Mg2InPd5 | PBE | optimized geometry

Density of states at the Fermi level ... 11.25 states/eV/cell
Volume ... 392.2 Å³/cell
Space group ... P4/mbm, No. 127
DFT formation energy ... -588 meV per atom

Cell lengths 10.2472, 10.2472, 3.7347 Å; angles 90.00, 90.00, 90.00 degrees
Last column: nearest neighbours and their distance in Å.
Sites, in units of the cell vectors:
Pm: 0.1772 0.3228 0.0000  3 Mg 2.92-3.11, 2 Pd 3.18
Pm: 0.3228 0.8228 0.0000  3 Mg 2.92-3.11, 2 Pd 3.18
Pm: 0.6772 0.1772 0.0000  3 Mg 2.92-3.11, 2 Pd 3.18
Pm: 0.8228 0.6772 0.0000  3 Mg 2.92-3.11, 2 Pd 3.18
Mg: 0.1212 0.6212 0.0000  6 Pd 2.56-2.67
Mg: 0.3788 0.1212 0.0000  6 Pd 2.56-2.67
Mg: 0.6212 0.8788 0.0000  6 Pd 2.56-2.67
Mg: 0.8788 0.3788 0.0000  6 Pd 2.56-2.67
In: 0.0000 0.0000 0.0000  8 Pd 2.87
In: 0.5000 0.5000 0.0000  8 Pd 2.87
Pd: 0.0000 0.5000 0.5000  4 Mg 2.56
Pd: 0.0590 0.7960 0.5000  2 Mg 2.67, 2 In 2.87
Pd: 0.2040 0.0590 0.5000  2 Mg 2.67, 2 In 2.87
Pd: 0.2960 0.5590 0.5000  2 Mg 2.67, 2 In 2.87
Pd: 0.4410 0.2960 0.5000  2 Mg 2.67, 2 In 2.87
Pd: 0.5000 0.0000 0.5000  4 Mg 2.56
Pd: 0.5590 0.7040 0.5000  2 Mg 2.67, 2 In 2.87
Pd: 0.7040 0.4410 0.5000  2 Mg 2.67, 2 In 2.87
Pd: 0.7960 0.9410 0.5000  2 Mg 2.67, 2 In 2.87
Pd: 0.9410 0.2040 0.5000  2 Mg 2.67, 2 In 2.87


(4)
LiHgNF2 | PBE | optimized geometry

Density of states at the Fermi level ... 1.56 states/eV/cell
Volume ... 59.6 Å³/cell
Uncorrected formation energy ... -479 meV/atom
Space group ... P4/mmm, No. 123

Cell lengths 3.7031, 3.7031, 4.3481 Å; angles 90.00, 90.00, 90.00 degrees
Last column: nearest neighbours and their distance in Å.
Sites, in units of the cell vectors:
Li: 0.0000 0.0000 0.0000  4 F 1.85
Hg: 0.5000 0.5000 0.5000  4 N 2.62, 8 F 2.86
N: 0.0000 0.0000 0.5000  2 Li 2.17
F: 0.0000 0.5000 0.0000  2 Li 1.85
F: 0.5000 0.0000 0.0000  2 Li 1.85


(5)
CuSiTcRu | PBE | optimized geometry

Density of states at the Fermi level ... 22.68 states/eV/cell
Volume ... 207.8 Å³/cell
Uncorrected formation energy ... -133 meV/atom
Space group ... F-43m, No. 216

Cell lengths 5.9228, 5.9228, 5.9228 Å; angles 90.00, 90.00, 90.00 degrees
Last column: nearest neighbours and their distance in Å.
Sites, in units of the cell vectors:
Cu: 0.0000 0.0000 0.0000  4 Tc 2.56, 4 Ru 2.56
Cu: 0.0000 0.5000 0.5000  4 Tc 2.56, 4 Ru 2.56
Cu: 0.5000 0.0000 0.5000  4 Tc 2.56, 4 Ru 2.56
Cu: 0.5000 0.5000 0.0000  4 Tc 2.56, 4 Ru 2.56
Si: 0.0000 0.0000 0.5000  4 Ru 2.56, 4 Tc 2.56
Si: 0.0000 0.5000 0.0000  4 Ru 2.56, 4 Tc 2.56
Si: 0.5000 0.0000 0.0000  4 Ru 2.56, 4 Tc 2.56
Si: 0.5000 0.5000 0.5000  4 Ru 2.56, 4 Tc 2.56
Tc: 0.2500 0.2500 0.7500  4 Cu 2.56, 4 Si 2.56
Tc: 0.2500 0.7500 0.2500  4 Cu 2.56, 4 Si 2.56
Tc: 0.7500 0.2500 0.2500  4 Cu 2.56, 4 Si 2.56
Tc: 0.7500 0.7500 0.7500  4 Cu 2.56, 4 Si 2.56
Ru: 0.2500 0.2500 0.2500  4 Cu 2.56, 4 Si 2.56
Ru: 0.2500 0.7500 0.7500  4 Cu 2.56, 4 Si 2.56
Ru: 0.7500 0.2500 0.7500  4 Cu 2.56, 4 Si 2.56
Ru: 0.7500 0.7500 0.2500  4 Cu 2.56, 4 Si 2.56


(6)
BRu3Pt | PBE | optimized geometry

Density of states at the Fermi level ... 7.97 states/eV/cell
Volume ... 67.0 Å³/cell
Space group ... Pm-3m, No. 221
DFT formation energy ... 176 meV per atom

Cell lengths 4.0620, 4.0620, 4.0620 Å; angles 90.00, 90.00, 90.00 degrees
Last column: nearest neighbours and their distance in Å.
Sites, in units of the cell vectors:
B: 0.0000 0.0000 0.0000  6 Ru 2.03
Ru: 0.0000 0.0000 0.5000  2 B 2.03
Ru: 0.0000 0.5000 0.0000  2 B 2.03
Ru: 0.5000 0.0000 0.0000  2 B 2.03
Pt: 0.5000 0.5000 0.5000  12 Ru 2.87


(7)
LaSb2P2Pt7 | PBE | optimized geometry

Density of states at the Fermi level ... 5.06 states/eV/cell
Volume ... 240.6 Å³/cell
Uncorrected formation energy ... -617 meV/atom
Space group ... I4/mmm, No. 139

Cell lengths 15.2405, 15.2405, 15.2405 Å; angles 164.89, 164.89, 21.43 degrees
Last column: nearest neighbours and their distance in Å.
Sites, in units of the cell vectors:
La: 0.0000 0.0000 0.0000  12 Pt 2.83-3.09
Sb: 0.2121 0.2121 0.0000  5 Pt 2.70-2.87
Sb: 0.7879 0.7879 0.0000  5 Pt 2.70-2.87
P: 0.3789 0.3789 0.0000  5 Pt 2.30-2.37
P: 0.6211 0.6211 0.0000  5 Pt 2.30-2.37
Pt: 0.0787 0.5787 0.5000  2 P 2.37
Pt: 0.3021 0.3021 0.0000  1 P 2.30
Pt: 0.4213 0.9213 0.5000  2 P 2.37
Pt: 0.5000 0.5000 0.0000  4 La 2.83, 8 Pt 3.09
Pt: 0.5787 0.0787 0.5000  2 P 2.37
Pt: 0.6979 0.6979 0.0000  1 P 2.30
Pt: 0.9213 0.4213 0.5000  2 P 2.37


(8)
Na3U3AgS8 | PBE | optimized geometry

Density of states at the Fermi level ... 11.69 states/eV/cell
Volume ... 359.1 Å³/cell
Uncorrected formation energy ... -1203 meV/atom
Space group ... R-3m, No. 166

Cell lengths 8.1032, 8.1032, 8.1032 Å; angles 58.02, 58.02, 58.02 degrees
Last column: nearest neighbours and their distance in Å.
Sites, in units of the cell vectors:
Na: 0.0000 0.5000 0.5000  6 S 2.90-2.97
Na: 0.5000 0.0000 0.5000  6 S 2.90-2.97
Na: 0.5000 0.5000 0.0000  6 S 2.90-2.97
U: 0.0000 0.0000 0.5000  6 S 2.68-2.75
U: 0.0000 0.5000 0.0000  6 S 2.68-2.75
U: 0.5000 0.0000 0.0000  6 S 2.68-2.75
Ag: 0.5000 0.5000 0.5000  6 S 2.81
S: 0.2254 0.7491 0.7491  2 U 2.68, 1 Ag 2.81, 2 Na 2.97
S: 0.2439 0.2439 0.2439  3 U 2.75, 3 Na 2.90
S: 0.2509 0.2509 0.7746  2 U 2.68, 1 Ag 2.81, 2 Na 2.97
S: 0.2509 0.7746 0.2509  2 U 2.68, 1 Ag 2.81, 2 Na 2.97
S: 0.7491 0.2254 0.7491  2 U 2.68, 1 Ag 2.81, 2 Na 2.97
S: 0.7491 0.7491 0.2254  2 U 2.68, 1 Ag 2.81, 2 Na 2.97
S: 0.7561 0.7561 0.7561  3 U 2.75, 3 Na 2.90
S: 0.7746 0.2509 0.2509  2 U 2.68, 1 Ag 2.81, 2 Na 2.97


(9)
Cd2In | PBE | optimized geometry

Density of states at the Fermi level ... 1.21 states/eV/cell
Volume ... 83.9 Å³/cell
Space group ... P4/mmm, No. 123
DFT formation energy ... 115 meV per atom

Cell lengths 4.4180, 4.4180, 4.2985 Å; angles 90.00, 90.00, 90.00 degrees
Last column: nearest neighbours and their distance in Å.
Sites, in units of the cell vectors:
Cd: 0.0000 0.5000 0.0000  4 In 3.08, 4 Cd 3.12
Cd: 0.5000 0.0000 0.0000  4 In 3.08, 4 Cd 3.12
In: 0.0000 0.0000 0.5000  8 Cd 3.08


(10)
MgReRh | PBE | optimized geometry

Density of states at the Fermi level ... 6.31 states/eV/cell
Volume ... 189.1 Å³/cell
Space group ... Cmmm, No. 65
DFT formation energy ... -67 meV per atom

Cell lengths 4.0576, 11.3523, 4.1063 Å; angles 90.00, 90.00, 90.00 degrees
Last column: nearest neighbours and their distance in Å.
Sites, in units of the cell vectors:
Mg: 0.0000 0.0000 0.0000  4 Rh 2.81, 4 Mg 2.89, 4 Re 2.94
Mg: 0.0000 0.5000 0.5000  4 Rh 2.83, 4 Mg 2.89, 4 Re 2.92
Mg: 0.5000 0.0000 0.5000  4 Rh 2.83, 4 Mg 2.89, 4 Re 2.92
Mg: 0.5000 0.5000 0.0000  4 Rh 2.81, 4 Mg 2.89, 4 Re 2.94
Re: 0.0000 0.1854 0.5000  2 Re 2.50, 2 Rh 2.62
Re: 0.0000 0.8146 0.5000  2 Re 2.50, 2 Rh 2.62
Re: 0.5000 0.3146 0.5000  2 Re 2.50, 2 Rh 2.62
Re: 0.5000 0.6854 0.5000  2 Re 2.50, 2 Rh 2.62
Rh: 0.0000 0.3285 0.0000  6 Re 2.62-2.89, 2 Rh 2.70, 4 Mg 2.81-2.83
Rh: 0.0000 0.6715 0.0000  6 Re 2.62-2.89, 2 Rh 2.70, 4 Mg 2.81-2.83
Rh: 0.5000 0.1715 0.0000  6 Re 2.62-2.89, 2 Rh 2.70, 4 Mg 2.81-2.83
Rh: 0.5000 0.8285 0.0000  6 Re 2.62-2.89, 2 Rh 2.70, 4 Mg 2.81-2.83